Entry 1:
Below is LaPmScAg after structural relaxation, with properties calculated at the PBE-GGA level.

Geometry as POSCAR:
```
LaPmScAg
1.0
7.563 0.000 0.000
0.000 7.563 0.000
0.000 0.000 7.563
La Pm Sc Ag
4 4 4 4
Direct
0.000 0.000 0.000 La
0.000 0.500 0.500 La
0.500 0.000 0.500 La
0.500 0.500 0.000 La
0.250 0.250 0.250 Pm
0.250 0.750 0.750 Pm
0.750 0.250 0.750 Pm
0.750 0.750 0.250 Pm
0.000 0.000 0.500 Sc
0.000 0.500 0.000 Sc
0.500 0.000 0.000 Sc
0.500 0.500 0.500 Sc
0.250 0.250 0.750 Ag
0.250 0.750 0.250 Ag
0.750 0.250 0.250 Ag
0.750 0.750 0.750 Ag
```

Final energy: -4.621 eV/atom
Crystal system: cubic
Formation energy from the elements: 0.094 eV/atom

***

Entry 2:
Below is La2PmAgSe5 after structural relaxation, with properties calculated at the PBE-GGA level.

Geometry as POSCAR:
```
La2PmAgSe5
1.0
2.118 -8.899 0.000
2.118 8.899 0.000
0.000 0.000 12.676
La Pm Ag Se
4 2 2 10
Direct
0.111 0.889 0.500 La
0.123 0.877 0.123 La
0.877 0.123 0.623 La
0.889 0.111 0.000 La
0.196 0.804 0.823 Pm
0.804 0.196 0.323 Pm
0.445 0.555 0.274 Ag
0.555 0.445 0.774 Ag
0.044 0.956 0.892 Se
0.289 0.711 0.486 Se
0.308 0.692 0.159 Se
0.361 0.639 0.816 Se
0.498 0.502 0.586 Se
0.502 0.498 0.086 Se
0.639 0.361 0.316 Se
0.692 0.308 0.659 Se
0.711 0.289 0.986 Se
0.956 0.044 0.392 Se
```

Final energy: -5.523 eV/atom
Crystal system: orthorhombic
Formation energy from raw total energies: -1647 meV/atom

***

Entry 3:
Below is LaPmSmAg after structural relaxation, with properties calculated at the PBE-GGA level.

Geometry as POSCAR:
```
LaPmSmAg
1.0
3.742 0.000 0.000
0.000 3.742 0.000
0.000 0.000 8.712
La Pm Sm Ag
1 1 1 1
Direct
0.000 0.000 0.000 La
0.500 0.500 0.291 Pm
0.500 0.500 0.710 Sm
0.000 0.000 0.503 Ag
```

Final energy: -4.426 eV/atom
Crystal system: tetragonal
Formation energy from the elements: -0.114 eV/atom

***

Entry 4:
Below is LaPmSmAg after structural relaxation, with properties calculated at the PBE-GGA level.

Geometry as POSCAR:
```
LaPmSmAg
1.0
7.844 0.000 0.000
0.000 7.844 0.000
0.000 0.000 7.844
La Pm Sm Ag
4 4 4 4
Direct
0.000 0.000 0.000 La
0.000 0.500 0.500 La
0.500 0.000 0.500 La
0.500 0.500 0.000 La
0.250 0.250 0.750 Pm
0.250 0.750 0.250 Pm
0.750 0.250 0.250 Pm
0.750 0.750 0.750 Pm
0.000 0.000 0.500 Sm
0.000 0.500 0.000 Sm
0.500 0.000 0.000 Sm
0.500 0.500 0.500 Sm
0.250 0.250 0.250 Ag
0.250 0.750 0.750 Ag
0.750 0.250 0.750 Ag
0.750 0.750 0.250 Ag
```

Final energy: -4.227 eV/atom
Crystal system: cubic
Formation energy from the elements: 0.085 eV/atom

***

Entry 5:
Below is La2PmAg2Sn2 after structural relaxation, with properties calculated at the PBE-GGA level.

Geometry as POSCAR:
```
La2PmAg2Sn2
1.0
2.410 1.391 9.299
-2.410 1.391 9.299
0.000 -2.783 9.299
La Pm Ag Sn
2 1 2 2
Direct
0.137 0.137 0.137 La
0.863 0.863 0.863 La
0.000 0.000 0.000 Pm
0.415 0.415 0.415 Ag
0.585 0.585 0.585 Ag
0.267 0.267 0.267 Sn
0.733 0.733 0.733 Sn
```

Final energy: -4.495 eV/atom
Crystal system: trigonal
Formation energy from the elements: -0.450 eV/atom

***

Entry 6:
Below is LaPmTcAg after structural relaxation, with properties calculated at the PBE-GGA level.

Geometry as POSCAR:
```
LaPmTcAg
1.0
7.288 0.000 0.000
0.000 7.288 0.000
0.000 0.000 7.288
La Pm Tc Ag
4 4 4 4
Direct
0.000 0.000 0.000 La
0.000 0.500 0.500 La
0.500 0.000 0.500 La
0.500 0.500 0.000 La
0.000 0.000 0.500 Pm
0.000 0.500 0.000 Pm
0.500 0.000 0.000 Pm
0.500 0.500 0.500 Pm
0.250 0.250 0.250 Tc
0.250 0.750 0.750 Tc
0.750 0.250 0.750 Tc
0.750 0.750 0.250 Tc
0.250 0.250 0.750 Ag
0.250 0.750 0.250 Ag
0.750 0.250 0.250 Ag
0.750 0.750 0.750 Ag
```

Final energy: -5.713 eV/atom
Crystal system: cubic
Formation energy from the elements: 0.011 eV/atom

***

Entry 7:
Below is La2PmAgTe5 after structural relaxation, with properties calculated at the PBE-GGA level.

Geometry as POSCAR:
```
La2PmAgTe5
1.0
2.239 -9.594 0.000
2.239 9.594 0.000
0.000 0.000 13.431
La Pm Ag Te
4 2 2 10
Direct
0.111 0.889 0.500 La
0.123 0.877 0.122 La
0.877 0.123 0.622 La
0.889 0.111 0.000 La
0.193 0.807 0.823 Pm
0.807 0.193 0.323 Pm
0.433 0.567 0.272 Ag
0.567 0.433 0.772 Ag
0.042 0.958 0.887 Te
0.289 0.711 0.486 Te
0.307 0.693 0.155 Te
0.359 0.641 0.814 Te
0.499 0.501 0.590 Te
0.501 0.499 0.090 Te
0.641 0.359 0.314 Te
0.693 0.307 0.655 Te
0.711 0.289 0.986 Te
0.958 0.042 0.387 Te
```

Final energy: -4.980 eV/atom
Crystal system: orthorhombic
Formation energy from raw total energies: -1295 meV/atom

***

Entry 8:
Below is La3Pm3AgTe8 after structural relaxation, with properties calculated at the PBE-GGA level.

Geometry as POSCAR:
```
La3Pm3AgTe8
1.0
4.501 2.599 7.349
-4.501 2.599 7.349
0.000 -5.198 7.349
La Pm Ag Te
3 3 1 8
Direct
0.000 0.500 0.500 La
0.500 0.000 0.500 La
0.500 0.500 0.000 La
0.000 0.000 0.500 Pm
0.000 0.500 0.000 Pm
0.500 0.000 0.000 Pm
0.500 0.500 0.500 Ag
0.246 0.749 0.749 Te
0.248 0.248 0.248 Te
0.251 0.251 0.754 Te
0.251 0.754 0.251 Te
0.749 0.246 0.749 Te
0.749 0.749 0.246 Te
0.752 0.752 0.752 Te
0.754 0.251 0.251 Te
```

Final energy: -5.140 eV/atom
Crystal system: trigonal
Formation energy from raw total energies: -1339 meV/atom

***

Question: Among the records above, which one has the lowest final energy?
Answer: LaPmTcAg

***

Question: Among the records above, which one has the highest final energy?
Answer: number 4

***

Question: The highest final energy belongs to which entry?
Answer: number 4

***

Question: Which of these has the lowest final energy?
Answer: LaPmTcAg